GGA-PBE K2PdS2, relaxed; spin magnetization = 0.0 μB per formula unit; volume = 22.998 Å³/atom; E_form (uncorrected) = -0.61 eV per atom; energy = -37.4 eV/cell; density = 3.6 g/cm³
1.0
6.791 0.000 0.000
0.000 6.791 0.000
0.000 0.000 4.987
K Pd S
4 2 4
Direct
0.155 0.345 0.000
0.345 0.845 0.000
0.655 0.155 0.000
0.845 0.655 0.000
0.000 0.000 0.500
0.500 0.500 0.500
0.169 0.669 0.500
0.331 0.169 0.500
0.669 0.831 0.500
0.831 0.331 0.500

---

GGA-PBE Be2Ni2Mo, relaxed; spin magnetization = 0.0 μB per formula unit; volume = 10.882 Å³/atom; calculated formation energy = 99 meV/atom; energy = -29.4 eV/cell; polymorph energy (0 for the lowest one) = 303.5 meV per atom; density = 7.1 g/cm³
1.0
-1.840 1.840 4.019
1.840 -1.840 4.019
1.840 1.840 -4.019
Be Ni Mo
2 2 1
Direct
0.250 0.750 0.500
0.750 0.250 0.500
0.134 0.134 0.000
0.866 0.866 0.000
0.500 0.500 0.000

---

GGA-PBE CdFe2Tc, relaxed; spin magnetization = 5.0 μB per formula unit; volume = 14.416 Å³/atom; calculated formation energy = 363 meV/atom; energy = -26.8 eV/cell; density = 9.3 g/cm³
1.0
-1.430 2.240 4.499
1.430 -2.240 4.499
1.430 2.240 -4.499
Cd Fe Tc
1 2 1
Direct
0.000 0.000 0.000
0.519 0.519 0.000
0.737 0.237 0.500
0.279 0.779 0.500

---

GGA-PBE Rb2Ti3Cl8, relaxed; spin magnetization = 0.0 μB per formula unit; volume = 26.348 Å³/atom; E_form (uncorrected) = -1.54 eV per atom; energy = -60.5 eV/cell; density = 2.9 g/cm³
1.0
8.130 -3.515 0.000
8.130 3.515 0.000
-1.350 0.000 5.993
Rb Ti Cl
2 3 8
Direct
0.240 0.240 0.188
0.760 0.760 0.812
0.293 0.707 0.500
0.500 0.500 0.000
0.707 0.293 0.500
0.085 0.085 0.411
0.167 0.648 0.120
0.352 0.833 0.880
0.396 0.396 0.622
0.604 0.604 0.378
0.648 0.167 0.120
0.833 0.352 0.880
0.915 0.915 0.589

---

The lowest volume belongs to which entry?
Be2Ni2Mo

---

energy of number 2 (Be2Ni2Mo)?
-29.4 eV/cell

---

What is the spin magnetization in the second record?
0.0 μB per formula unit